## Ni5Hg3Cl12 (GGA-PBE)

Data for a geometry-optimized Ni5Hg3Cl12 structure.

Cell lengths 13.2970, 13.2970, 13.2970 Å; angles 109.47, 109.47, 109.47 degrees
Last column: nearest neighbours and their distance in Å.
Fractional coordinates of all 80 atoms:
Ni1 0.0000 0.0000 0.0000  6 Cl 2.44
Ni2 0.0000 0.0000 0.5000  6 Cl 2.44
Ni3 0.0000 0.5000 0.0000  6 Cl 2.44
Ni4 0.0000 0.5000 0.5000  6 Cl 2.44
Ni5 0.1250 0.7500 0.8750  4 Cl 2.24
Ni6 0.1250 0.8750 0.2500  4 Cl 2.24
Ni7 0.2500 0.1250 0.8750  4 Cl 2.24
Ni8 0.2500 0.6250 0.3750  4 Cl 2.24
Ni9 0.3750 0.2500 0.6250  4 Cl 2.24
Ni10 0.3750 0.6250 0.7500  4 Cl 2.24
Ni11 0.5000 0.0000 0.0000  6 Cl 2.44
Ni12 0.5000 0.0000 0.5000  6 Cl 2.44
Ni13 0.5000 0.5000 0.0000  6 Cl 2.44
Ni14 0.5000 0.5000 0.5000  6 Cl 2.44
Ni15 0.6250 0.3750 0.2500  4 Cl 2.24
Ni16 0.6250 0.7500 0.3750  4 Cl 2.24
Ni17 0.7500 0.3750 0.6250  4 Cl 2.24
Ni18 0.7500 0.8750 0.1250  4 Cl 2.24
Ni19 0.8750 0.1250 0.7500  4 Cl 2.24
Ni20 0.8750 0.2500 0.1250  4 Cl 2.24
Hg1 0.1250 0.2500 0.3750  4 Cl 2.85
Hg2 0.1250 0.3750 0.7500  4 Cl 2.85
Hg3 0.2500 0.3750 0.1250  4 Cl 2.85
Hg4 0.2500 0.8750 0.6250  4 Cl 2.85
Hg5 0.3750 0.1250 0.2500  4 Cl 2.85
Hg6 0.3750 0.7500 0.1250  4 Cl 2.85
Hg7 0.6250 0.2500 0.8750  4 Cl 2.85
Hg8 0.6250 0.8750 0.7500  4 Cl 2.85
Hg9 0.7500 0.1250 0.3750  4 Cl 2.85
Hg10 0.7500 0.6250 0.8750  4 Cl 2.85
Hg11 0.8750 0.6250 0.2500  4 Cl 2.85
Hg12 0.8750 0.7500 0.6250  4 Cl 2.85
Cl1 0.0147 0.1921 0.1243  2 Ni 2.24-2.44
Cl2 0.0147 0.3226 0.8904  2 Ni 2.24-2.44
Cl3 0.0677 0.6921 0.6774  2 Ni 2.24-2.44
Cl4 0.0677 0.8757 0.3904  2 Ni 2.24-2.44
Cl5 0.1096 0.6243 0.4323  2 Ni 2.24-2.44
Cl6 0.1096 0.9853 0.6774  2 Ni 2.24-2.44
Cl7 0.1243 0.0147 0.1921  2 Ni 2.24-2.44
Cl8 0.1243 0.6096 0.9323  2 Ni 2.24-2.44
Cl9 0.1774 0.1921 0.5677  2 Ni 2.24-2.44
Cl10 0.1774 0.4853 0.6096  2 Ni 2.24-2.44
Cl11 0.1921 0.1243 0.0147  2 Ni 2.24-2.44
Cl12 0.1921 0.5677 0.1774  2 Ni 2.24-2.44
Cl13 0.3079 0.3226 0.9323  2 Ni 2.24-2.44
Cl14 0.3079 0.4853 0.3757  2 Ni 2.24-2.44
Cl15 0.3226 0.8904 0.0147  2 Ni 2.24-2.44
Cl16 0.3226 0.9323 0.3079  2 Ni 2.24-2.44
Cl17 0.3757 0.3079 0.4853  2 Ni 2.24-2.44
Cl18 0.3757 0.5677 0.8904  2 Ni 2.24-2.44
Cl19 0.3904 0.0677 0.8757  2 Ni 2.24-2.44
Cl20 0.3904 0.8226 0.5147  2 Ni 2.24-2.44
Cl21 0.4323 0.1096 0.6243  2 Ni 2.24-2.44
Cl22 0.4323 0.8226 0.8079  2 Ni 2.24-2.44
Cl23 0.4853 0.3757 0.3079  2 Ni 2.24-2.44
Cl24 0.4853 0.6096 0.1774  2 Ni 2.24-2.44
Cl25 0.5147 0.3904 0.8226  2 Ni 2.24-2.44
Cl26 0.5147 0.6243 0.6921  2 Ni 2.24-2.44
Cl27 0.5677 0.1774 0.1921  2 Ni 2.24-2.44
Cl28 0.5677 0.8904 0.3757  2 Ni 2.24-2.44
Cl29 0.6096 0.1774 0.4853  2 Ni 2.24-2.44
Cl30 0.6096 0.9323 0.1243  2 Ni 2.24-2.44
Cl31 0.6243 0.4323 0.1096  2 Ni 2.24-2.44
Cl32 0.6243 0.6921 0.5147  2 Ni 2.24-2.44
Cl33 0.6774 0.0677 0.6921  2 Ni 2.24-2.44
Cl34 0.6774 0.1096 0.9853  2 Ni 2.24-2.44
Cl35 0.6921 0.5147 0.6243  2 Ni 2.24-2.44
Cl36 0.6921 0.6774 0.0677  2 Ni 2.24-2.44
Cl37 0.8079 0.4323 0.8226  2 Ni 2.24-2.44
Cl38 0.8079 0.8757 0.9853  2 Ni 2.24-2.44
Cl39 0.8226 0.5147 0.3904  2 Ni 2.24-2.44
Cl40 0.8226 0.8079 0.4323  2 Ni 2.24-2.44
Cl41 0.8757 0.3904 0.0677  2 Ni 2.24-2.44
Cl42 0.8757 0.9853 0.8079  2 Ni 2.24-2.44
Cl43 0.8904 0.0147 0.3226  2 Ni 2.24-2.44
Cl44 0.8904 0.3757 0.5677  2 Ni 2.24-2.44
Cl45 0.9323 0.1243 0.6096  2 Ni 2.24-2.44
Cl46 0.9323 0.3079 0.3226  2 Ni 2.24-2.44
Cl47 0.9853 0.6774 0.1096  2 Ni 2.24-2.44
Cl48 0.9853 0.8079 0.8757  2 Ni 2.24-2.44

Results
**DOS at the Fermi energy**: 16.50 states/eV/f.u.
**Calculated volume**: 1810 Å³ per cell
**Raw formation energy**: -36.6 kJ per mole of atoms

***

## Rb4Be2Pb (GGA-PBE)

Data for a geometry-optimized Rb4Be2Pb structure.

Cell lengths 9.6215, 9.6215, 9.6215 Å; angles 136.36, 136.36, 63.42 degrees
Last column: nearest neighbours and their distance in Å.
Fractional coordinates of all 7 atoms:
Rb1 0.0000 0.5000 0.5000  2 Pb 3.58, 4 Be 3.73
Rb2 0.2242 0.2242 0.0000  1 Be 3.45, 1 Pb 3.67
Rb3 0.5000 0.0000 0.5000  2 Pb 3.58, 4 Be 3.73
Rb4 0.7758 0.7758 0.0000  1 Be 3.45, 1 Pb 3.67
Be1 0.4348 0.4348 0.0000  1 Be 2.13
Be2 0.5652 0.5652 0.0000  1 Be 2.13
Pb1 0.0000 0.0000 0.0000  6 Rb 3.58-3.67

Results
**DOS at the Fermi energy**: 4.93 states/eV/f.u.
**Calculated volume**: 419 Å³ per cell
**Energy relative to the elements**: 0.724 eV per atom

***

## BeMo2H (GGA-PBE)

Data for a geometry-optimized BeMo2H structure.

Cell lengths 6.3375, 6.3375, 6.3375 Å; angles 28.40, 28.40, 28.40 degrees
Last column: nearest neighbours and their distance in Å.
Fractional coordinates of all 4 atoms:
Be1 0.0000 0.0000 0.0000  6 Mo 2.21
Mo1 0.4044 0.4044 0.4044  1 H 1.74
Mo2 0.5956 0.5956 0.5956  1 H 1.74
H1 0.5000 0.5000 0.5000  2 Mo 1.74

Results
**DOS at the Fermi energy**: 2.85 states/eV/f.u.
**Calculated volume**: 51 Å³ per cell
**Relative energy among the computed polymorphs**: 417 meV per atom

***

## LiMnGe2 (GGA-PBE)

Data for a geometry-optimized LiMnGe2 structure.

Cell lengths 4.3515, 4.3515, 4.3515 Å; angles 60.00, 60.00, 60.00 degrees
Last column: nearest neighbours and their distance in Å.
Fractional coordinates of all 4 atoms:
Li1 0.0000 0.0000 0.0000  8 Ge 2.66
Mn1 0.5000 0.5000 0.5000  8 Ge 2.66
Ge1 0.2500 0.2500 0.2500  4 Mn 2.66, 4 Li 2.66
Ge2 0.7500 0.7500 0.7500  4 Mn 2.66, 4 Li 2.66

Results
**DOS at the Fermi energy**: 2.76 states/eV/f.u.
**Calculated volume**: 58 Å³ per cell
**Relative energy among the computed polymorphs**: 94 meV per atom
**Energy relative to the elements**: -0.031 eV per atom